The following is a PBE-GGA calculation of crystalline Ce2PuPa at its relaxed geometry, from Alexandria via LeMat-Bulk.

Computed properties:
- volume (Å³ per cell) = 402.4
- M_tot (Bohr magnetons per cell) = 23.803
- E_tot (eV per atom) = -8.679
- relative energy among the computed polymorphs (eV per formula unit) = 0.76
- E_form (eV per atom) = 0.245

Unit cell a=7.3826 b=7.3826 c=7.3826 alpha=90.00 beta=90.00 gamma=90.00
Last column: nearest neighbours and their distance in Å.
Space group Fm-3m (No. 225)
Unique sites:
Ce 0.2500 0.2500 0.2500  4 Pa 3.20, 4 Pu 3.20
Pu 0.0000 0.0000 0.0000  8 Ce 3.20
Pa 0.0000 0.0000 0.5000  8 Ce 3.20